A plane-wave DFT calculation with PBE was carried out for LaNiOs after structural relaxation.

Unit cell a=2.8958 b=2.8958 c=7.3805 alpha=90.00 beta=90.00 gamma=120.00
Last column: nearest neighbours and their distance in Å.
Sites, in units of the cell vectors:
La  0.0000  0.0000  0.0000  6 La 2.90, 3 Ni 3.18
Ni  0.6667  0.3333  0.3664  3 Os 2.52
Os  0.3333  0.6667  0.6222  3 Ni 2.52

- Excess energy over the best structure of this formula in the dataset: 86.7 kJ/mol of atoms
- Electronic total energy: -6.640 eV per atom
- Space group: No. 156
- E_form: 673 meV/atom

---

A plane-wave DFT calculation with PBE was carried out for La2NiOs after structural relaxation.

Unit cell a=3.4584 b=3.4584 c=8.2077 alpha=90.00 beta=90.00 gamma=90.00
Last column: nearest neighbours and their distance in Å.
Sites, in units of the cell vectors:
La  0.0000  0.0000  0.0000  1 Ni 2.80
La  0.5000  0.5000  0.4329  1 Os 2.65
Ni  0.0000  0.0000  0.6590  4 Os 2.57, 1 La 2.80
Os  0.5000  0.5000  0.7560  4 Ni 2.57, 1 La 2.65

- Electronic total energy: -6.595 eV per atom
- Space group: No. 99
- E_form: 122 meV/atom

---

A plane-wave DFT calculation with PBE was carried out for La2NiOs after structural relaxation.

Unit cell a=8.2952 b=8.2952 c=8.2952 alpha=138.84 beta=138.84 gamma=59.63
Last column: nearest neighbours and their distance in Å.
Sites, in units of the cell vectors:
La  0.1111  0.6250  0.9861  2 Os 2.69, 2 Ni 2.78
La  0.3750  0.3611  0.4861  2 Os 2.69, 2 Ni 2.78
La  0.6389  0.1250  0.0139  2 Os 2.69, 2 Ni 2.78
La  0.8750  0.8889  0.5139  2 Os 2.69, 2 Ni 2.78
Ni  0.2500  0.7500  0.5000  4 La 2.78
Ni  0.5000  0.5000  0.0000  4 La 2.78
Os  0.0000  0.0000  0.0000  4 La 2.69
Os  0.7500  0.2500  0.5000  4 La 2.69

- Electronic total energy: -6.184 eV per atom
- Space group: No. 122
- E_form: 533 meV/atom

---

A plane-wave DFT calculation with PBE was carried out for LaNiOs after structural relaxation.

Unit cell a=5.5390 b=5.5390 c=5.5390 alpha=144.28 beta=144.28 gamma=51.41
Last column: nearest neighbours and their distance in Å.
Sites, in units of the cell vectors:
La  0.0000  0.0000  0.0000  1 Ni 2.83, 1 Os 2.88
Ni  0.2838  0.2838  0.0000  4 Os 2.51
Os  0.7119  0.7119  0.0000  4 Ni 2.51

- Excess energy over the best structure of this formula in the dataset: 41.7 kJ/mol of atoms
- Electronic total energy: -7.106 eV per atom
- Space group: No. 107
- E_form: 206 meV/atom

---

A plane-wave DFT calculation with PBE was carried out for LaNiOs after structural relaxation.

Unit cell a=5.0677 b=4.4826 c=5.3513 alpha=90.00 beta=108.21 gamma=90.00
Last column: nearest neighbours and their distance in Å.
Sites, in units of the cell vectors:
La  0.2405  0.2500  0.4354  4 Ni 2.73-2.98
La  0.7595  0.7500  0.5646  4 Ni 2.73-2.98
Ni  0.0656  0.2500  0.8987  4 Os 2.53-2.72, 2 Ni 2.66, 1 La 2.73
Ni  0.9344  0.7500  0.1013  4 Os 2.53-2.72, 2 Ni 2.66, 1 La 2.73
Os  0.3857  0.7500  0.9912  2 Os 2.51, 4 Ni 2.53-2.72
Os  0.6143  0.2500  0.0088  2 Os 2.51, 4 Ni 2.53-2.72

- Excess energy over the best structure of this formula in the dataset: 7.1 kJ/mol of atoms
- Electronic total energy: -7.464 eV per atom
- Space group: No. 11
- E_form: -151 meV/atom

---

A plane-wave DFT calculation with PBE was carried out for La2NiOs2 after structural relaxation.

Unit cell a=6.7291 b=6.7291 c=4.6558 alpha=90.00 beta=90.00 gamma=90.00
Last column: nearest neighbours and their distance in Å.
Sites, in units of the cell vectors:
La  0.1873  0.3127  0.0000  6 Os 2.91-3.18
La  0.3127  0.8127  0.0000  6 Os 2.91-3.18
La  0.6873  0.1873  0.0000  6 Os 2.91-3.18
La  0.8127  0.6873  0.0000  6 Os 2.91-3.18
Ni  0.0000  0.0000  0.5000  4 Os 2.64
Ni  0.5000  0.5000  0.5000  4 Os 2.64
Os  0.1296  0.6296  0.5000  1 Os 2.47, 2 Ni 2.64
Os  0.3704  0.1296  0.5000  1 Os 2.47, 2 Ni 2.64
Os  0.6296  0.8704  0.5000  1 Os 2.47, 2 Ni 2.64
Os  0.8704  0.3704  0.5000  1 Os 2.47, 2 Ni 2.64

- Electronic total energy: -7.520 eV per atom
- Space group: No. 127
- E_form: 99 meV/atom

---

A plane-wave DFT calculation with PBE was carried out for LaNiOs after structural relaxation.

Unit cell a=7.6167 b=7.6167 c=7.6167 alpha=147.60 beta=147.60 gamma=46.47
Last column: nearest neighbours and their distance in Å.
Sites, in units of the cell vectors:
La  0.0000  0.0000  0.0000  4 Ni 3.15, 8 Os 3.24
La  0.7500  0.2500  0.5000  4 Os 3.13, 8 Ni 3.23
Ni  0.1659  0.6659  0.5000  1 Ni 2.35, 2 Os 2.40
Ni  0.3341  0.8341  0.5000  1 Ni 2.35, 2 Os 2.40
Os  0.4139  0.4139  0.0000  2 Ni 2.40, 1 Os 2.41
Os  0.5861  0.5861  0.0000  2 Ni 2.40, 1 Os 2.41

- Excess energy over the best structure of this formula in the dataset: 14.0 kJ/mol of atoms
- Electronic total energy: -7.393 eV per atom
- Space group: No. 119
- E_form: -80 meV/atom

---

A plane-wave DFT calculation with PBE was carried out for La2NiOs after structural relaxation.

Unit cell a=5.0679 b=5.0679 c=3.5140 alpha=90.00 beta=90.00 gamma=90.00
Last column: nearest neighbours and their distance in Å.
Sites, in units of the cell vectors:
La  0.0000  0.5000  0.0000  4 Os 3.08, 4 Ni 3.08
La  0.5000  0.0000  0.0000  4 Os 3.08, 4 Ni 3.08
Ni  0.0000  0.0000  0.5000  8 La 3.08
Os  0.5000  0.5000  0.5000  8 La 3.08

- Electronic total energy: -6.781 eV per atom
- Space group: No. 123
- E_form: -64 meV/atom

---

Calculated volume in order - 17.9; 24.5; 30.6; 19.2; 19.2; 21.1; 21.1; 22.6 Å³/atom